Record 1
Crystalline CaScAl2Co at its relaxed geometry, computed with PBE.

Values from the calculation:
uncorrected energy	-24.2	eV/cell

a b c (Å): 4.678 4.678 4.691
angles (deg): 90.00 90.00 90.00
Fractional positions:
Ca (0.000, 0.000, 0.000)
Sc (0.500, 0.500, 0.000)
Al (0.000, 0.500, 0.500)
Al (0.500, 0.000, 0.500)
Co (0.500, 0.500, 0.500)

Record 2
Crystalline SrCaAl2Co at its relaxed geometry, computed with PBE.

Values from the calculation:
uncorrected energy	-12.6	eV/cell
offset from the most stable computed form	1273.1	meV/atom

a b c (Å): 5.706 5.706 4.863
angles (deg): 90.00 90.00 90.00
Fractional positions:
Sr (0.000, 0.000, 0.000)
Ca (0.500, 0.500, 0.500)
Al (0.000, 0.500, 0.000)
Al (0.500, 0.000, 0.000)
Co (0.000, 0.000, 0.500)

Record 3
Crystalline SrCaAl2Co at its relaxed geometry, computed with PBE.

Values from the calculation:
uncorrected energy	-18.9	eV/cell
offset from the most stable computed form	0.0	meV/atom

a b c (Å): 4.771 4.771 5.122
angles (deg): 90.00 90.00 90.00
Fractional positions:
Sr (0.000, 0.000, 0.000)
Ca (0.500, 0.500, 0.000)
Al (0.000, 0.500, 0.500)
Al (0.500, 0.000, 0.500)
Co (0.500, 0.500, 0.500)

Record 4
Crystalline CaYAl2Co at its relaxed geometry, computed with PBE.

Values from the calculation:
uncorrected energy	-24.1	eV/cell

a b c (Å): 4.749 4.749 4.940
angles (deg): 90.00 90.00 90.00
Fractional positions:
Ca (0.000, 0.000, 0.000)
Y (0.500, 0.500, 0.000)
Al (0.000, 0.500, 0.500)
Al (0.500, 0.000, 0.500)
Co (0.500, 0.500, 0.500)

Record 5
Crystalline CaAlZn2Co at its relaxed geometry, computed with PBE.

Values from the calculation:
uncorrected energy	-16.3	eV/cell

a b c (Å): 4.649 4.649 4.476
angles (deg): 90.00 90.00 90.00
Fractional positions:
Ca (0.000, 0.000, 0.000)
Al (0.500, 0.500, 0.000)
Zn (0.000, 0.500, 0.500)
Zn (0.500, 0.000, 0.500)
Co (0.500, 0.500, 0.500)

Record 6
Crystalline CaAl2Cr at its relaxed geometry, computed with PBE.

Values from the calculation:
uncorrected energy	-18.7	eV/cell

a b c (Å): 3.132 4.313 6.225
angles (deg): 90.00 104.18 90.00
Fractional positions:
Ca (0.000, 0.000, 0.000)
Al (0.256, 0.000, 0.495)
Al (0.373, 0.500, 0.740)
Cr (0.692, 0.500, 0.367)

Number 1: energy relative to the elements -0.257 eV/atom. Number 2: energy relative to the elements 1.143 eV/atom. Number 3: energy relative to the elements -0.131 eV/atom. Number 4: energy relative to the elements -0.207 eV/atom. Number 5: energy relative to the elements -0.173 eV/atom. Number 6: energy relative to the elements 0.113 eV/atom.